Material: Nd6SmYSc2
Method: DFT, PBE
State: relaxed

Cell: 9.635 8.830 8.830 Å, 117.89 94.39 94.39°
Fractional positions:
Nd (0.552, 0.761, 0.109)
Sc (0.048, 0.294, 0.195)
Nd (0.683, 0.015, 0.561)
Sc (0.952, 0.706, 0.805)
Y (0.750, 0.029, 0.971)
Sc (0.452, 0.805, 0.706)
Nd (0.881, 0.300, 0.502)
Sc (0.548, 0.195, 0.294)
Nd (0.381, 0.502, 0.300)
Nd (0.448, 0.239, 0.891)
Y (0.250, 0.971, 0.029)
Nd (0.948, 0.891, 0.239)
Sm (0.750, 0.594, 0.406)
Nd (0.817, 0.439, 0.985)
Nd (0.119, 0.700, 0.498)
Nd (0.317, 0.985, 0.439)
Sm (0.250, 0.406, 0.594)
Nd (0.052, 0.109, 0.761)
Nd (0.183, 0.561, 0.015)
Nd (0.619, 0.498, 0.700)

Results
Space group: C2/c
E_form in meV per atom: 120
VASP energy in eV per atom: -5.125

Material: Ho4TeI5
Method: DFT, PBE
State: relaxed

Cell: 4.088 9.118 9.939 Å, 105.54 101.87 90.00°
Fractional positions:
I (0.159, 0.319, 0.317)
Ho (0.653, 0.057, 0.306)
Ho (0.347, 0.943, 0.694)
Te (0.500, 0.000, 0.000)
I (0.177, 0.812, 0.354)
I (0.823, 0.188, 0.646)
Ho (0.991, 0.222, 0.982)
I (0.841, 0.681, 0.683)
Ho (0.009, 0.778, 0.018)
I (0.500, 0.500, 0.000)

Results
Space group: C2/m
ΔE_f (raw) in eV/atom: -1.0771
VASP energy in eV per atom: -3.997

Material: SrBeCo2
Method: DFT, PBE
State: relaxed

Cell: 3.929 3.929 5.824 Å, 70.23 70.23 60.01°
Fractional positions:
Be (0.250, 0.250, 0.250)
Co (0.569, 0.569, 0.292)
Sr (0.750, 0.750, 0.750)
Co (0.931, 0.931, 0.208)

Results
Space group: C2/m
E_form in meV per atom: 29
VASP energy in eV per atom: -4.876

Material: ZrTiSn2S
Method: DFT, PBE
State: relaxed

Cell: 5.576 4.786 5.576 Å, 90.00 90.00 90.00°
Fractional positions:
Sn (0.500, 0.000, 0.000)
Sn (0.000, 0.000, 0.500)
Ti (0.500, 0.500, 0.500)
Zr (0.000, 0.000, 0.000)
S (0.000, 0.500, 0.000)

Results
Distance to the lowest polymorph of the same formula in meV per atom: 323
Space group: P4/mmm
ΔE_f (raw) in eV/atom: 0.5115
VASP energy in eV per atom: -5.204

Material: Y2Zn2I
Method: DFT, PBE
State: relaxed

Cell: 8.163 8.163 3.960 Å, 90.00 90.00 90.00°
Fractional positions:
Zn (0.879, 0.379, 0.500)
I (0.000, 0.000, 0.000)
I (0.500, 0.500, 0.000)
Zn (0.121, 0.621, 0.500)
Zn (0.379, 0.121, 0.500)
Y (0.832, 0.668, 0.000)
Y (0.668, 0.168, 0.000)
Zn (0.621, 0.879, 0.500)
Y (0.332, 0.832, 0.000)
Y (0.168, 0.332, 0.000)

Results
Distance to the lowest polymorph of the same formula in meV per atom: 0
Space group: P4/mbm
ΔE_f (raw) in eV/atom: -0.3407
VASP energy in eV per atom: -3.746

Material: Be3PO
Method: DFT, PBE
State: relaxed

Cell: 3.962 3.962 3.962 Å, 90.00 90.00 90.00°
Fractional positions:
Be (0.500, 0.000, 0.000)
P (0.000, 0.000, 0.000)
O (0.500, 0.500, 0.500)
Be (0.000, 0.000, 0.500)
Be (0.000, 0.500, 0.000)

Results
Distance to the lowest polymorph of the same formula in meV per atom: 955
Space group: Pm-3m
ΔE_f (raw) in eV/atom: 0.5634
VASP energy in eV per atom: -3.746

Material: Be2Sb2Ru
Method: DFT, PBE
State: relaxed

Cell: 6.612 6.612 3.554 Å, 90.00 90.00 90.00°
Fractional positions:
Sb (0.814, 0.314, 0.500)
Sb (0.186, 0.686, 0.500)
Be (0.883, 0.617, 0.000)
Be (0.617, 0.117, 0.000)
Sb (0.686, 0.814, 0.500)
Be (0.117, 0.383, 0.000)
Sb (0.314, 0.186, 0.500)
Ru (0.000, 0.000, 0.000)
Be (0.383, 0.883, 0.000)
Ru (0.500, 0.500, 0.000)

Results
Distance to the lowest polymorph of the same formula in meV per atom: 0
Space group: P4/mbm
ΔE_f (raw) in eV/atom: 0.3507
VASP energy in eV per atom: -4.644

Material: TbPrZn4
Method: DFT, PBE
State: relaxed

Cell: 3.808 3.804 9.945 Å, 89.49 89.71 89.92°
Fractional positions:
Pr (0.501, 0.497, 0.998)
Zn (0.001, 0.499, 0.255)
Zn (0.500, 0.998, 0.741)
Zn (0.002, 0.495, 0.741)
Tb (0.001, 0.997, 0.498)
Zn (0.503, 0.996, 0.255)

Results
Distance to the lowest polymorph of the same formula in meV per atom: 357
Space group: P-1
E_form in meV per atom: 8
VASP energy in eV per atom: -2.409

Material: MgNbSn2Hg
Method: DFT, PBE
State: relaxed

Cell: 5.372 5.636 5.372 Å, 90.00 90.00 90.00°
Fractional positions:
Sn (0.500, 0.000, 0.000)
Mg (0.000, 0.500, 0.000)
Nb (0.000, 0.000, 0.000)
Hg (0.500, 0.500, 0.500)
Sn (0.000, 0.000, 0.500)

Results
Space group: P4/mmm
E_form in meV per atom: 490
VASP energy in eV per atom: -3.505

Material: CeSmNi2As2
Method: DFT, PBE
State: relaxed

Cell: 4.091 4.091 7.964 Å, 90.00 90.00 120.00°
Fractional positions:
As (0.333, 0.667, 0.245)
As (0.667, 0.333, 0.755)
Sm (0.000, 0.000, 0.000)
Ni (0.333, 0.667, 0.734)
Ni (0.667, 0.333, 0.266)
Ce (0.000, 0.000, 0.500)

Results
Space group: P-3m1
E_form in meV per atom: -1044
VASP energy in eV per atom: -6.296

Material: CsPrAs2Pt4
Method: DFT, PBE
State: relaxed

Cell: 4.090 4.090 11.944 Å, 90.00 90.00 90.00°
Fractional positions:
Pt (0.500, 0.000, 0.189)
Pt (0.000, 0.500, 0.189)
As (0.500, 0.500, 0.695)
Pt (0.000, 0.500, 0.811)
Pr (0.000, 0.000, 0.000)
Pt (0.500, 0.000, 0.811)
As (0.500, 0.500, 0.305)
Cs (0.000, 0.000, 0.500)

Results
Space group: P4/mmm
E_form in meV per atom: -612
VASP energy in eV per atom: -5.499

Material: Tb6HoMg
Method: DFT, PBE
State: relaxed

Cell: 8.519 9.427 6.354 Å, 42.05 47.83 56.28°
Fractional positions:
Tb (0.045, 0.513, 0.197)
Tb (0.755, 0.956, 0.777)
Tb (0.955, 0.487, 0.803)
Mg (0.000, 0.000, 0.000)
Tb (0.487, 0.246, 0.313)
Ho (0.500, 0.500, 0.500)
Tb (0.513, 0.754, 0.687)
Tb (0.245, 0.044, 0.223)

Results
Distance to the lowest polymorph of the same formula in meV per atom: 107
Space group: P-1
E_form in meV per atom: 129
VASP energy in eV per atom: -4.115